La2BeAl4Au3 | PBE-GGA | relaxed

abc: 4.4060 4.4060 10.5359
angles: 90.00 90.00 90.00
Fractional positions:
Al 0.0000 0.5000 0.3760
Au 0.0000 0.5000 0.1326
Al 0.5000 0.5000 0.0000
La 0.0000 0.5000 0.7410
Au 0.5000 0.0000 0.8674
Be 0.5000 0.5000 0.5000
La 0.5000 0.0000 0.2590
Al 0.5000 0.0000 0.6240
Au 0.0000 0.0000 0.5000
Al 0.0000 0.0000 0.0000

Values from the calculation:
Its space group is P-4m2. The calculation puts the density of states at the Fermi level at 5.95 states/eV per cell. For the total energy, the calculation gives -44.67 eV/cell. The value obtained for the formation energy is -629 meV/atom.